A plane-wave DFT calculation with PBE-GGA was carried out for a relaxed GeBiTe2 crystal.

As for the crystal system: trigonal. The space-group type is R-3m (166). The energy above the lowest structure with this stoichiometry is 259 meV/atom. The formation energy without anion corrections comes out at 0.241 eV per atom. The calculation puts the density of states at the Fermi level at 0.416 states/eV/atom.

Lattice parameters (Å, degrees): 9.8127 9.8127 9.8127 25.21 25.21 25.21
With the nearest neighbours (Å) after each atom.
Element x y z (fractional)
1 Ge 0.0000 0.0000 0.0000  2 Te 2.82
2 Bi 0.5000 0.5000 0.5000  6 Te 3.14
3 Te 0.0989 0.0989 0.0989  1 Ge 2.82, 3 Bi 3.14
4 Te 0.9011 0.9011 0.9011  1 Ge 2.82, 3 Bi 3.14

A plane-wave DFT calculation with PBE-GGA was carried out for a relaxed Zr2ScCu crystal.

As for the crystal system: trigonal. The space-group type is R-3m (166). The energy above the lowest structure with this stoichiometry is 211 meV/atom. The value obtained for the energy relative to the elements is 96 meV/atom. The calculation puts the density of states at the Fermi level at 0.954 states/eV/atom.

Lattice parameters (Å, degrees): 9.9750 9.9750 9.9750 18.13 18.13 18.13
With the nearest neighbours (Å) after each atom.
Element x y z (fractional)
1 Zr 0.2410 0.2410 0.2410  3 Cu 2.84, 6 Zr 3.14
2 Zr 0.7590 0.7590 0.7590  3 Cu 2.84, 6 Zr 3.14
3 Sc 0.0000 0.0000 0.0000  6 Sc 3.14, 6 Zr 3.27
4 Cu 0.5000 0.5000 0.5000  6 Zr 2.84, 6 Cu 3.14